Record 1
TlNiBi2 | PBE | optimized geometry

abc: 5.2740 5.2740 5.2740
angles: 60.00 60.00 60.00
Sites, in units of the cell vectors:
Tl (0.0000, 0.0000, 0.0000)
Ni (0.2500, 0.2500, 0.2500)
Bi (0.5000, 0.5000, 0.5000)
Bi (0.7500, 0.7500, 0.7500)

=====

Record 2
TlNi3Bi5 | PBE | optimized geometry

abc: 5.5659 5.5659 8.4365
angles: 90.00 90.00 120.00
Sites, in units of the cell vectors:
Tl (0.0000, 0.0000, 0.0000)
Ni (0.0000, 0.5000, 0.5000)
Ni (0.5000, 0.0000, 0.5000)
Ni (0.5000, 0.5000, 0.5000)
Bi (0.0000, 0.0000, 0.5000)
Bi (0.3333, 0.6667, 0.2339)
Bi (0.3333, 0.6667, 0.7661)
Bi (0.6667, 0.3333, 0.2339)
Bi (0.6667, 0.3333, 0.7661)

=====

Record 3
TlNiBi | PBE | optimized geometry

abc: 4.6319 4.6319 4.6319
angles: 60.00 60.00 60.00
Sites, in units of the cell vectors:
Tl (0.0000, 0.0000, 0.0000)
Ni (0.7500, 0.7500, 0.7500)
Bi (0.5000, 0.5000, 0.5000)

=====

Calculated values (eV for the cell shown) of DFT total energy for the records, taken in order: -14.265 -39.368 -11.615.